A plane-wave DFT calculation with GGA-PBE was carried out for crystalline GaFeCo2C at its relaxed geometry. Values from VASP.

The structure in Quantum ESPRESSO input format:
```
&SYSTEM
  ibrav = 0, nat = 5, ntyp = 4
/
ATOMIC_SPECIES
Ga 69.72 Ga.upf
Fe 55.84 Fe.upf
Co 58.93 Co.upf
C 12.01 C.upf
CELL_PARAMETERS angstrom
3.735 0.000 0.000
0.000 3.735 0.000
0.000 0.000 3.756
ATOMIC_POSITIONS crystal
Ga 0.000 0.000 0.000
Fe 0.500 0.500 0.000
Co 0.000 0.500 0.500
Co 0.500 0.000 0.500
C 0.500 0.500 0.500
```

Energy relative to the elements, eV per atom: -0.08
Raw total energy, eV per atom: -7.07

A plane-wave DFT calculation with GGA-PBE was carried out for crystalline AcPm5Sm12 at its relaxed geometry. Values from VASP.

The structure in Quantum ESPRESSO input format:
```
&SYSTEM
  ibrav = 0, nat = 18, ntyp = 3
/
ATOMIC_SPECIES
Ac 227.00 Ac.upf
Pm 145.00 Pm.upf
Sm 150.36 Sm.upf
CELL_PARAMETERS angstrom
5.842 -8.815 0.000
5.842 8.815 0.000
-0.048 0.000 6.075
ATOMIC_POSITIONS crystal
Ac 0.000 0.000 0.000
Pm 0.166 0.834 0.500
Pm 0.326 0.674 0.000
Pm 0.500 0.500 0.500
Pm 0.674 0.326 0.000
Pm 0.834 0.166 0.500
Sm 0.018 0.351 0.939
Sm 0.156 0.492 0.442
Sm 0.184 0.184 0.541
Sm 0.334 0.334 0.042
Sm 0.351 0.018 0.939
Sm 0.492 0.156 0.442
Sm 0.508 0.844 0.558
Sm 0.649 0.982 0.061
Sm 0.666 0.666 0.958
Sm 0.816 0.816 0.459
Sm 0.844 0.508 0.558
Sm 0.982 0.649 0.061
```

Energy relative to the elements, eV per atom: 0.10
Raw total energy, eV per atom: -4.59

A plane-wave DFT calculation with GGA-PBE was carried out for crystalline Tm8Bi2Ir3 at its relaxed geometry. Values from VASP.

The structure in Quantum ESPRESSO input format:
```
&SYSTEM
  ibrav = 0, nat = 13, ntyp = 3
/
ATOMIC_SPECIES
Tm 168.93 Tm.upf
Bi 208.98 Bi.upf
Ir 192.22 Ir.upf
CELL_PARAMETERS angstrom
9.011 0.000 0.000
0.000 4.805 0.000
-3.838 0.000 8.154
ATOMIC_POSITIONS crystal
Tm 0.105 0.000 0.395
Tm 0.147 0.500 0.862
Tm 0.361 0.500 0.647
Tm 0.390 0.000 0.110
Tm 0.610 0.000 0.890
Tm 0.639 0.500 0.353
Tm 0.853 0.500 0.138
Tm 0.895 0.000 0.605
Bi 0.244 0.500 0.257
Bi 0.756 0.500 0.743
Ir 0.250 0.000 0.750
Ir 0.500 0.500 0.000
Ir 0.750 0.000 0.250
```

Energy relative to the elements, eV per atom: -0.70
Raw total energy, eV per atom: -6.09

A plane-wave DFT calculation with GGA-PBE was carried out for crystalline AgBi2Pd2 at its relaxed geometry. Values from VASP.

The structure in Quantum ESPRESSO input format:
```
&SYSTEM
  ibrav = 0, nat = 10, ntyp = 3
/
ATOMIC_SPECIES
Ag 107.87 Ag.upf
Bi 208.98 Bi.upf
Pd 106.42 Pd.upf
CELL_PARAMETERS angstrom
4.102 0.000 0.000
0.000 6.388 0.000
0.000 0.000 8.269
ATOMIC_POSITIONS crystal
Ag 0.000 0.000 0.000
Ag 0.500 0.500 0.500
Bi 0.000 0.500 0.205
Bi 0.000 0.500 0.795
Bi 0.500 0.000 0.295
Bi 0.500 0.000 0.705
Pd 0.000 0.217 0.500
Pd 0.000 0.783 0.500
Pd 0.500 0.283 0.000
Pd 0.500 0.717 0.000
```

Energy relative to the elements, eV per atom: -0.16
Raw total energy, eV per atom: -4.36
Offset from the most stable computed form, eV/f.u.: 0.11

A plane-wave DFT calculation with GGA-PBE was carried out for crystalline Na5B7C3 at its relaxed geometry. Values from VASP.

The structure in Quantum ESPRESSO input format:
```
&SYSTEM
  ibrav = 0, nat = 30, ntyp = 3
/
ATOMIC_SPECIES
Na 22.99 Na.upf
B 10.81 B.upf
C 12.01 C.upf
CELL_PARAMETERS angstrom
1.405 -12.894 0.000
1.405 12.894 0.000
0.000 0.000 8.608
ATOMIC_POSITIONS crystal
Na 0.000 0.000 0.000
Na 0.000 0.000 0.500
Na 0.199 0.801 0.502
Na 0.199 0.801 0.998
Na 0.401 0.599 0.001
Na 0.401 0.599 0.499
Na 0.599 0.401 0.501
Na 0.599 0.401 0.999
Na 0.801 0.199 0.002
Na 0.801 0.199 0.498
B 0.058 0.942 0.750
B 0.126 0.874 0.750
B 0.130 0.870 0.250
B 0.265 0.735 0.250
B 0.278 0.722 0.750
B 0.330 0.670 0.250
B 0.464 0.536 0.750
B 0.536 0.464 0.250
B 0.670 0.330 0.750
B 0.722 0.278 0.250
B 0.735 0.265 0.750
B 0.870 0.130 0.750
B 0.874 0.126 0.250
B 0.942 0.058 0.250
C 0.067 0.933 0.250
C 0.338 0.662 0.750
C 0.473 0.527 0.250
C 0.527 0.473 0.750
C 0.662 0.338 0.250
C 0.933 0.067 0.750
```

Energy relative to the elements, eV per atom: 0.12
Raw total energy, eV per atom: -5.28
Offset from the most stable computed form, eV/f.u.: 0.10

A plane-wave DFT calculation with GGA-PBE was carried out for crystalline KSr at its relaxed geometry. Values from VASP.

The structure in Quantum ESPRESSO input format:
```
&SYSTEM
  ibrav = 0, nat = 8, ntyp = 2
/
ATOMIC_SPECIES
K 39.10 K.upf
Sr 87.62 Sr.upf
CELL_PARAMETERS angstrom
6.321 0.000 0.000
0.000 6.321 0.000
0.000 0.000 12.560
ATOMIC_POSITIONS crystal
K 0.000 0.250 0.375
K 0.000 0.750 0.625
K 0.500 0.250 0.125
K 0.500 0.750 0.875
Sr 0.000 0.250 0.875
Sr 0.000 0.750 0.125
Sr 0.500 0.250 0.625
Sr 0.500 0.750 0.375
```

Energy relative to the elements, eV per atom: 0.14
Raw total energy, eV per atom: -1.25

A plane-wave DFT calculation with GGA-PBE was carried out for crystalline Ca3ZnH at its relaxed geometry. Values from VASP.

The structure in Quantum ESPRESSO input format:
```
&SYSTEM
  ibrav = 0, nat = 5, ntyp = 3
/
ATOMIC_SPECIES
Ca 40.08 Ca.upf
Zn 65.41 Zn.upf
H 1.01 H.upf
CELL_PARAMETERS angstrom
4.960 0.000 0.000
0.000 4.960 0.000
0.000 0.000 4.960
ATOMIC_POSITIONS crystal
Ca 0.000 0.000 0.500
Ca 0.000 0.500 0.000
Ca 0.500 0.000 0.000
Zn 0.500 0.500 0.500
H 0.000 0.000 0.000
```

Raw total energy, eV per atom: -2.29
Offset from the most stable computed form, eV/f.u.: 0.39

A plane-wave DFT calculation with GGA-PBE was carried out for crystalline YFe2Ni2 at its relaxed geometry. Values from VASP.

The structure in Quantum ESPRESSO input format:
```
&SYSTEM
  ibrav = 0, nat = 10, ntyp = 3
/
ATOMIC_SPECIES
Y 88.91 Y.upf
Fe 55.84 Fe.upf
Ni 58.69 Ni.upf
CELL_PARAMETERS angstrom
3.850 0.000 0.000
0.000 3.850 0.000
0.000 0.000 10.322
ATOMIC_POSITIONS crystal
Y 0.000 0.000 0.000
Y 0.500 0.500 0.500
Fe 0.000 0.500 0.250
Fe 0.000 0.500 0.750
Fe 0.500 0.000 0.250
Fe 0.500 0.000 0.750
Ni 0.000 0.000 0.386
Ni 0.000 0.000 0.614
Ni 0.500 0.500 0.114
Ni 0.500 0.500 0.886
```

Energy relative to the elements, eV per atom: -0.10
Raw total energy, eV per atom: -7.09
Offset from the most stable computed form, eV/f.u.: 0.00

A plane-wave DFT calculation with GGA-PBE was carried out for crystalline DyNpAl4 at its relaxed geometry. Values from VASP.

The structure in Quantum ESPRESSO input format:
```
&SYSTEM
  ibrav = 0, nat = 6, ntyp = 3
/
ATOMIC_SPECIES
Dy 162.50 Dy.upf
Np 237.00 Np.upf
Al 26.98 Al.upf
CELL_PARAMETERS angstrom
0.000 3.919 3.919
3.919 0.000 3.919
3.919 3.919 0.000
ATOMIC_POSITIONS crystal
Dy 0.000 0.000 0.000
Np 0.250 0.250 0.250
Al 0.127 0.624 0.624
Al 0.624 0.127 0.624
Al 0.624 0.624 0.127
Al 0.624 0.624 0.624
```

Energy relative to the elements, eV per atom: -0.25
Raw total energy, eV per atom: -5.66

A plane-wave DFT calculation with GGA-PBE was carried out for crystalline Ce3Dy4Te8 at its relaxed geometry. Values from VASP.

The structure in Quantum ESPRESSO input format:
```
&SYSTEM
  ibrav = 0, nat = 15, ntyp = 3
/
ATOMIC_SPECIES
Ce 140.12 Ce.upf
Dy 162.50 Dy.upf
Te 127.60 Te.upf
CELL_PARAMETERS angstrom
6.225 -6.235 0.000
6.225 6.235 0.000
-6.189 0.000 6.235
ATOMIC_POSITIONS crystal
Ce 0.000 0.000 0.000
Ce 0.000 0.500 0.000
Ce 0.500 0.000 0.000
Dy 0.000 0.500 0.500
Dy 0.500 0.000 0.500
Dy 0.500 0.500 0.000
Dy 0.500 0.500 0.500
Te 0.248 0.752 0.500
Te 0.251 0.251 0.507
Te 0.252 0.252 0.997
Te 0.254 0.746 0.000
Te 0.746 0.254 0.000
Te 0.748 0.748 0.003
Te 0.749 0.749 0.493
Te 0.752 0.248 0.500
```

Raw total energy, eV per atom: -5.46
Formation energy from raw total energies, eV/atom: -1.37

A plane-wave DFT calculation with GGA-PBE was carried out for crystalline Sb4Pb11 at its relaxed geometry. Values from VASP.

The structure in Quantum ESPRESSO input format:
```
&SYSTEM
  ibrav = 0, nat = 30, ntyp = 2
/
ATOMIC_SPECIES
Sb 121.76 Sb.upf
Pb 207.20 Pb.upf
CELL_PARAMETERS angstrom
6.700 0.000 0.000
1.180 11.530 0.000
0.109 0.017 12.449
ATOMIC_POSITIONS crystal
Sb 0.073 0.153 0.446
Sb 0.087 0.571 0.855
Sb 0.420 0.929 0.356
Sb 0.422 0.344 0.947
Sb 0.578 0.656 0.053
Sb 0.580 0.071 0.644
Sb 0.913 0.429 0.145
Sb 0.927 0.847 0.554
Pb 0.000 0.000 0.000
Pb 0.014 0.583 0.607
Pb 0.039 0.705 0.082
Pb 0.103 0.038 0.703
Pb 0.162 0.702 0.357
Pb 0.174 0.187 0.191
Pb 0.323 0.316 0.692
Pb 0.340 0.798 0.856
Pb 0.395 0.465 0.201
Pb 0.467 0.793 0.582
Pb 0.481 0.918 0.107
Pb 0.500 0.500 0.500
Pb 0.519 0.082 0.893
Pb 0.533 0.207 0.418
Pb 0.605 0.535 0.799
Pb 0.660 0.202 0.144
Pb 0.677 0.684 0.308
Pb 0.826 0.813 0.809
Pb 0.838 0.298 0.643
Pb 0.897 0.962 0.297
Pb 0.961 0.295 0.918
Pb 0.986 0.417 0.393
```

Raw total energy, eV per atom: -3.76
Formation energy from raw total energies, eV/atom: 0.06

A plane-wave DFT calculation with GGA-PBE was carried out for crystalline TcBSb2 at its relaxed geometry. Values from VASP.

The structure in Quantum ESPRESSO input format:
```
&SYSTEM
  ibrav = 0, nat = 16, ntyp = 3
/
ATOMIC_SPECIES
Tc 98.00 Tc.upf
B 10.81 B.upf
Sb 121.76 Sb.upf
CELL_PARAMETERS angstrom
5.909 0.000 0.000
0.000 5.909 0.000
0.000 0.000 10.199
ATOMIC_POSITIONS crystal
Tc 0.000 0.000 0.000
Tc 0.000 0.500 0.250
Tc 0.500 0.000 0.750
Tc 0.500 0.500 0.500
B 0.000 0.000 0.500
B 0.000 0.500 0.750
B 0.500 0.000 0.250
B 0.500 0.500 0.000
Sb 0.204 0.250 0.625
Sb 0.250 0.704 0.875
Sb 0.250 0.796 0.375
Sb 0.296 0.250 0.125
Sb 0.704 0.750 0.125
Sb 0.750 0.204 0.375
Sb 0.750 0.296 0.875
Sb 0.796 0.750 0.625
```

Raw total energy, eV per atom: -5.55
Formation energy from raw total energies, eV/atom: 0.77

A plane-wave DFT calculation with GGA-PBE was carried out for crystalline CsKGaAu at its relaxed geometry. Values from VASP.

The structure in Quantum ESPRESSO input format:
```
&SYSTEM
  ibrav = 0, nat = 8, ntyp = 4
/
ATOMIC_SPECIES
Cs 132.91 Cs.upf
K 39.10 K.upf
Ga 69.72 Ga.upf
Au 196.97 Au.upf
CELL_PARAMETERS angstrom
8.058 0.000 0.000
0.000 4.562 0.000
-2.672 0.000 9.559
ATOMIC_POSITIONS crystal
Cs 0.000 0.000 0.000
Cs 0.500 0.500 0.000
K 0.327 0.500 0.479
K 0.827 0.000 0.479
Ga 0.074 0.500 0.721
Ga 0.574 0.000 0.721
Au 0.242 0.000 0.720
Au 0.742 0.500 0.720
```

Energy relative to the elements, eV per atom: -0.20
Raw total energy, eV per atom: -2.27

A plane-wave DFT calculation with GGA-PBE was carried out for crystalline Tm3In2Pd at its relaxed geometry. Values from VASP.

The structure in Quantum ESPRESSO input format:
```
&SYSTEM
  ibrav = 0, nat = 6, ntyp = 3
/
ATOMIC_SPECIES
Tm 168.93 Tm.upf
In 114.82 In.upf
Pd 106.42 Pd.upf
CELL_PARAMETERS angstrom
3.566 0.000 0.000
0.000 3.566 0.000
0.000 0.000 11.336
ATOMIC_POSITIONS crystal
Tm 0.000 0.000 0.000
Tm 0.000 0.000 0.355
Tm 0.000 0.000 0.645
In 0.500 0.500 0.175
In 0.500 0.500 0.825
Pd 0.500 0.500 0.500
```

Energy relative to the elements, eV per atom: -0.61
Raw total energy, eV per atom: -4.63

A plane-wave DFT calculation with GGA-PBE was carried out for crystalline BaErInI6 at its relaxed geometry. Values from VASP.

The structure in Quantum ESPRESSO input format:
```
&SYSTEM
  ibrav = 0, nat = 18, ntyp = 4
/
ATOMIC_SPECIES
Ba 137.33 Ba.upf
Er 167.26 Er.upf
In 114.82 In.upf
I 126.90 I.upf
CELL_PARAMETERS angstrom
8.406 0.000 0.000
-4.203 7.280 0.000
0.000 0.000 14.681
ATOMIC_POSITIONS crystal
Ba 0.333 0.667 0.250
Ba 0.667 0.333 0.750
Er 0.333 0.667 0.750
Er 0.667 0.333 0.250
In 0.000 0.000 0.000
In 0.000 0.000 0.500
I 0.040 0.376 0.629
I 0.040 0.665 0.871
I 0.335 0.376 0.871
I 0.335 0.960 0.629
I 0.376 0.040 0.129
I 0.376 0.335 0.371
I 0.624 0.665 0.629
I 0.624 0.960 0.871
I 0.665 0.040 0.371
I 0.665 0.624 0.129
I 0.960 0.335 0.129
I 0.960 0.624 0.371
```

Raw total energy, eV per atom: -3.35
Formation energy from raw total energies, eV/atom: -1.29

A plane-wave DFT calculation with GGA-PBE was carried out for crystalline TaAlP3 at its relaxed geometry. Values from VASP.

The structure in Quantum ESPRESSO input format:
```
&SYSTEM
  ibrav = 0, nat = 5, ntyp = 3
/
ATOMIC_SPECIES
Ta 180.95 Ta.upf
Al 26.98 Al.upf
P 30.97 P.upf
CELL_PARAMETERS angstrom
4.829 0.000 0.000
0.000 4.829 0.000
0.000 0.000 4.829
ATOMIC_POSITIONS crystal
Ta 0.000 0.000 0.000
Al 0.500 0.500 0.500
P 0.000 0.000 0.500
P 0.000 0.500 0.000
P 0.500 0.000 0.000
```

Energy relative to the elements, eV per atom: 0.43
Raw total energy, eV per atom: -5.93
Offset from the most stable computed form, eV/f.u.: 0.00

A plane-wave DFT calculation with GGA-PBE was carried out for crystalline NpNi6P4 at its relaxed geometry. Values from VASP.

The structure in Quantum ESPRESSO input format:
```
&SYSTEM
  ibrav = 0, nat = 11, ntyp = 3
/
ATOMIC_SPECIES
Np 237.00 Np.upf
Ni 58.69 Ni.upf
P 30.97 P.upf
CELL_PARAMETERS angstrom
6.645 0.000 0.000
-3.322 5.754 0.000
0.000 0.000 3.592
ATOMIC_POSITIONS crystal
Np 0.000 0.000 0.000
Ni 0.205 0.411 0.500
Ni 0.205 0.795 0.500
Ni 0.537 0.074 0.000
Ni 0.537 0.463 0.000
Ni 0.589 0.795 0.500
Ni 0.926 0.463 0.000
P 0.333 0.667 0.000
P 0.375 0.187 0.500
P 0.813 0.187 0.500
P 0.813 0.625 0.500
```

Energy relative to the elements, eV per atom: -0.57
Raw total energy, eV per atom: -6.87
Offset from the most stable computed form, eV/f.u.: 0.00

A plane-wave DFT calculation with GGA-PBE was carried out for crystalline Hf2V2C3 at its relaxed geometry. Values from VASP.

The structure in Quantum ESPRESSO input format:
```
&SYSTEM
  ibrav = 0, nat = 14, ntyp = 3
/
ATOMIC_SPECIES
Hf 178.49 Hf.upf
V 50.94 V.upf
C 12.01 C.upf
CELL_PARAMETERS angstrom
10.737 0.000 0.000
0.000 3.162 0.000
-1.588 0.000 5.033
ATOMIC_POSITIONS crystal
Hf 0.114 0.000 0.344
Hf 0.386 0.500 0.656
Hf 0.614 0.500 0.344
Hf 0.886 0.000 0.656
V 0.149 0.500 0.844
V 0.351 0.000 0.156
V 0.649 0.000 0.844
V 0.851 0.500 0.156
C 0.000 0.500 0.500
C 0.247 0.500 0.240
C 0.253 0.000 0.760
C 0.500 0.000 0.500
C 0.747 0.000 0.240
C 0.753 0.500 0.760
```

Energy relative to the elements, eV per atom: -0.73
Raw total energy, eV per atom: -10.13

A plane-wave DFT calculation with GGA-PBE was carried out for crystalline ScSnIr3 at its relaxed geometry. Values from VASP.

The structure in Quantum ESPRESSO input format:
```
&SYSTEM
  ibrav = 0, nat = 5, ntyp = 3
/
ATOMIC_SPECIES
Sc 44.96 Sc.upf
Sn 118.71 Sn.upf
Ir 192.22 Ir.upf
CELL_PARAMETERS angstrom
4.728 0.000 0.000
0.000 4.728 0.000
0.000 0.000 4.728
ATOMIC_POSITIONS crystal
Sc 0.000 0.000 0.000
Sn 0.500 0.500 0.500
Ir 0.000 0.000 0.500
Ir 0.000 0.500 0.000
Ir 0.500 0.000 0.000
```

Energy relative to the elements, eV per atom: 1.20
Raw total energy, eV per atom: -6.18
Offset from the most stable computed form, eV/f.u.: 0.73

A plane-wave DFT calculation with GGA-PBE was carried out for crystalline Be3Au4 at its relaxed geometry. Values from VASP.

The structure in Quantum ESPRESSO input format:
```
&SYSTEM
  ibrav = 0, nat = 7, ntyp = 2
/
ATOMIC_SPECIES
Be 9.01 Be.upf
Au 196.97 Au.upf
CELL_PARAMETERS angstrom
4.670 0.000 0.000
-2.335 4.044 0.000
0.000 0.000 5.306
ATOMIC_POSITIONS crystal
Be 0.000 0.500 0.000
Be 0.500 0.000 0.000
Be 0.500 0.500 0.000
Au 0.000 0.000 0.246
Au 0.000 0.000 0.754
Au 0.333 0.667 0.500
Au 0.667 0.333 0.500
```

Energy relative to the elements, eV per atom: 0.09
Raw total energy, eV per atom: -3.38
Offset from the most stable computed form, eV/f.u.: 1.55